Below is an optimized crystal structure of Tb6Pm2Nd3Th, with properties calculated at the GGA-PBE level.

```
12
Lattice="3.133 -5.423 0.000 3.133 5.423 0.000 -2.088 0.000 11.701" Properties=species:S:1:pos:R:3 pbc="T T T"
Tb -0.008 1.787 8.746
Tb 1.017 0.000 2.953
Tb -0.008 -1.787 8.746
Tb 4.187 1.787 2.955
Tb 3.162 0.000 8.748
Tb 4.187 -1.787 2.955
Pm 2.090 1.807 5.850
Pm 2.090 -1.807 5.850
Nd 3.133 3.611 0.000
Nd 3.133 0.000 0.000
Nd 3.133 -3.611 0.000
Th -1.044 0.000 5.850
```

The calculation puts the final energy at -4.8955 eV/atom. As for the space group: No. 12. The calculation puts the calculated formation energy at 0.02 eV per atom. The density of states at the Fermi level comes out at 1.2480 states/eV/atom.

***

Below is an optimized crystal structure of Tl2CuRh, with properties calculated at the GGA-PBE level.

```
4
Lattice="-1.994 1.994 4.742 1.994 -1.994 4.742 1.994 1.994 -4.742" Properties=species:S:1:pos:R:3 pbc="T T T"
Tl 0.000 0.000 0.000
Tl 0.000 1.994 2.371
Cu 1.994 0.000 2.371
Rh 0.000 0.000 4.742
```

The calculation puts the final energy at -3.8057 eV/atom. As for the space group: No. 119. The calculation puts the calculated formation energy at 0.24 eV per atom. As for the energy above the most stable polymorph in this dataset: 86 meV/atom. The density of states at the Fermi level comes out at 0.3622 states/eV/atom.

***

Below is an optimized crystal structure of B2C, with properties calculated at the GGA-PBE level.

```
12
Lattice="2.731 0.000 0.000 -1.366 2.365 0.000 0.000 0.000 16.580" Properties=species:S:1:pos:R:3 pbc="T T T"
B 0.000 0.000 0.000
B 0.000 0.000 1.738
B 0.000 0.000 8.592
B 0.000 1.577 2.149
B 0.000 1.577 5.906
B 0.000 1.577 10.272
B 0.000 1.577 14.188
B 1.366 0.788 7.592
C 0.000 0.000 10.161
C 1.366 0.788 6.026
C 1.366 0.788 14.370
C 1.366 0.788 15.930
```

The calculation puts the final energy at -7.1111 eV/atom. As for the space group: No. 156. The calculation puts the calculated formation energy at 0.42 eV per atom. As for the energy above the most stable polymorph in this dataset: 230 meV/atom. The density of states at the Fermi level comes out at 0.2330 states/eV/atom.

***

Below is an optimized crystal structure of La2CoSiSn, with properties calculated at the GGA-PBE level.

```
5
Lattice="5.661 0.000 0.000 0.000 5.661 0.000 0.000 0.000 4.943" Properties=species:S:1:pos:R:3 pbc="T T T"
La 0.000 2.830 0.000
La 2.830 0.000 0.000
Co 0.000 0.000 2.472
Si 2.830 2.830 0.000
Sn 2.830 2.830 2.472
```

The calculation puts the final energy at -4.8868 eV/atom. As for the space group: No. 123. The raw formation energy comes out at 0.391 eV/atom. As for the energy above the most stable polymorph in this dataset: 914 meV/atom. The density of states at the Fermi level comes out at 1.0139 states/eV/atom.

***

Look up the final energy of the second one. -3.8057 eV/atom